[1]
An optimized crystal structure of Ba2SeS, computed with PBE.

a b c (Å): 4.5480 4.5480 23.7467
angles (deg): 90.00 90.00 120.00
Space group R3m (No. 160, hexagonal axes)
Asymmetric unit:
Ba 0.0000 0.0000 0.0000
Ba 0.0000 0.0000 0.1741
Se 0.0000 0.0000 0.4196
S 0.0000 0.0000 0.5879

Calculated values
- energy (eV/atom) = -4.857
- V (Å³ per cell) = 425
- M_tot (μB/atom) = 0.0000
- energy above the lowest structure with this stoichiometry (kJ/mol of formula units) = 27


[2]
An optimized crystal structure of ZnRu2Au, computed with PBE.

a b c (Å): 9.241 2.786 4.741
angles (deg): 90.00 101.34 90.00
Space group C2/m (No. 12)
Asymmetric unit:
Zn 0.000 0.000 0.000
Ru 0.244 0.500 0.231
Au 0.000 0.500 0.500

Calculated values
- energy (eV/atom) = -5.541
- V (Å³ per cell) = 120
- M_tot (μB/atom) = 0.0000


[3]
An optimized crystal structure of Hf4ZrTi3, computed with PBE.

a b c (Å): 3.058 4.739 11.357
angles (deg): 90.00 90.00 90.00
Space group Pmm2 (No. 25)
Asymmetric unit:
Hf 0.000 0.000 0.000
Hf 0.000 0.500 0.342
Hf 0.500 0.000 0.485
Hf 0.500 0.500 0.854
Zr 0.000 0.000 0.731
Ti 0.000 0.500 0.601
Ti 0.500 0.000 0.231
Ti 0.500 0.500 0.109

Calculated values
- energy (eV/atom) = -8.982
- V (Å³ per cell) = 165
- M_tot (μB/atom) = 0.0000


[4]
An optimized crystal structure of LiPm2Be3Ge4, computed with PBE.

a b c (Å): 4.138 4.138 9.799
angles (deg): 90.00 90.00 90.00
Space group P-4m2 (No. 115)
Asymmetric unit:
Li 0.000 0.000 0.000
Pm 0.000 0.500 0.745
Be 0.000 0.500 0.373
Be 0.500 0.500 0.000
Ge 0.000 0.000 0.500
Ge 0.000 0.500 0.139
Ge 0.500 0.500 0.500

Calculated values
- energy (eV/atom) = -4.534
- V (Å³ per cell) = 168
- M_tot (μB/atom) = 0.0000


[5]
An optimized crystal structure of Zr2TaOs, computed with PBE.

a b c (Å): 7.666 7.666 5.604
angles (deg): 90.00 90.00 90.00
Space group I-42d (No. 122)
Asymmetric unit:
Zr 0.216 0.250 0.125
Ta 0.000 0.000 0.500
Os 0.000 0.000 0.000

Calculated values
- energy (eV/atom) = -9.684
- V (Å³ per cell) = 329
- M_tot (μB/atom) = 0.0000
- energy above the lowest structure with this stoichiometry (kJ/mol of formula units) = 226


[6]
An optimized crystal structure of CaCoCl, computed with PBE.

a b c (Å): 3.6942 3.6942 6.3743
angles (deg): 90.00 90.00 120.00
Space group P3m1 (No. 156)
Asymmetric unit:
Ca 0.0000 0.0000 0.0000
Co 0.3333 0.6667 0.6700
Cl 0.6667 0.3333 0.2734

Calculated values
- energy (eV/atom) = -3.863
- V (Å³ per cell) = 75
- M_tot (μB/atom) = 0.6521


[7]
An optimized crystal structure of LiGeAu3, computed with PBE.

a b c (Å): 4.456 4.493 8.770
angles (deg): 75.24 89.95 89.90
Space group P-1 (No. 2)
Asymmetric unit:
Li 0.250 0.157 0.196
Ge 0.249 0.356 0.802
Au 0.250 0.563 0.385
Au 0.250 0.947 0.613
Au 0.251 0.756 0.999

Calculated values
- energy (eV/atom) = -3.512
- V (Å³ per cell) = 170
- M_tot (μB/atom) = 0.0000
- energy above the lowest structure with this stoichiometry (kJ/mol of formula units) = 0


[8]
An optimized crystal structure of K2PtC4S4N4, computed with PBE.

a b c (Å): 4.458 14.664 12.471
angles (deg): 90.00 92.53 90.00
Space group P2_1/c (No. 14)
Asymmetric unit:
K 0.197 0.205 0.096
Pt 0.500 0.000 0.000
C 0.293 0.701 0.174
C 0.338 0.030 0.760
S 0.254 0.043 0.636
S 0.307 0.679 0.046
N 0.284 0.713 0.268
N 0.403 0.019 0.854

Calculated values
- energy (eV/atom) = -6.295
- V (Å³ per cell) = 814
- M_tot (μB/atom) = 0.1158


[9]
An optimized crystal structure of Dy2SBr, computed with PBE.

a b c (Å): 3.8056 3.8056 22.7257
angles (deg): 90.00 90.00 120.00
Space group R-3m (No. 166, hexagonal axes)
Asymmetric unit:
Dy 0.0000 0.0000 0.2329
S 0.0000 0.0000 0.5000
Br 0.0000 0.0000 0.0000

Calculated values
- energy (eV/atom) = -5.222
- V (Å³ per cell) = 285
- M_tot (μB/atom) = 0.0000
- energy above the lowest structure with this stoichiometry (kJ/mol of formula units) = 0


[10]
An optimized crystal structure of CsZrCu2, computed with PBE.

a b c (Å): 7.235 7.235 7.235
angles (deg): 90.00 90.00 90.00
Space group Fm-3m (No. 225)
Asymmetric unit:
Cs 0.000 0.000 0.000
Zr 0.000 0.000 0.500
Cu 0.250 0.250 0.250

Calculated values
- energy (eV/atom) = -3.341
- V (Å³ per cell) = 379
- M_tot (μB/atom) = 0.0000
- energy above the lowest structure with this stoichiometry (kJ/mol of formula units) = 51


[11]
An optimized crystal structure of Na3NdU2N6, computed with PBE.

a b c (Å): 15.278 3.579 7.023
angles (deg): 90.00 102.90 90.00
Space group C2/m (No. 12)
Asymmetric unit:
Na 0.000 0.000 0.000
Na 0.170 0.500 0.335
Nd 0.000 0.000 0.500
U 0.168 0.500 0.832
N 0.030 0.500 0.752
N 0.164 0.000 0.639
N 0.187 0.000 0.047

Calculated values
- energy (eV/atom) = -7.775
- V (Å³ per cell) = 374
- M_tot (μB/atom) = 0.0000


[12]
An optimized crystal structure of LiMnSi, computed with PBE.

a b c (Å): 4.0494 4.0494 5.1757
angles (deg): 90.00 90.00 120.00
Space group P3m1 (No. 156)
Asymmetric unit:
Li 0.0000 0.0000 0.0000
Li 0.3333 0.6667 0.1645
Mn 0.0000 0.0000 0.4989
Mn 0.6667 0.3333 0.7623
Si 0.3333 0.6667 0.6844
Si 0.6667 0.3333 0.2824

Calculated values
- energy (eV/atom) = -5.694
- V (Å³ per cell) = 74
- M_tot (μB/atom) = 0.7279


[13]
An optimized crystal structure of Ac3Cu6P5, computed with PBE.

a b c (Å): 4.116 12.533 9.993
angles (deg): 90.00 90.00 90.00
Space group Pmmn (No. 59, origin choice 2)
Asymmetric unit:
Ac 0.250 0.090 0.246
Ac 0.250 0.750 0.252
Cu 0.250 0.068 0.897
Cu 0.250 0.250 0.508
Cu 0.250 0.250 0.997
Cu 0.250 0.577 0.495
P 0.250 0.078 0.645
P 0.250 0.613 0.992
P 0.250 0.750 0.614

Calculated values
- energy (eV/atom) = -5.235
- V (Å³ per cell) = 516
- M_tot (μB/atom) = 0.0000


[14]
An optimized crystal structure of InGe2Sb, computed with PBE.

a b c (Å): 6.247 6.247 12.429
angles (deg): 90.00 90.00 90.00
Space group I-42d (No. 122)
Asymmetric unit:
In 0.000 0.000 0.000
Ge 0.247 0.250 0.125
Sb 0.000 0.000 0.500

Calculated values
- energy (eV/atom) = -3.937
- V (Å³ per cell) = 485
- M_tot (μB/atom) = 0.0000
- energy above the lowest structure with this stoichiometry (kJ/mol of formula units) = 0


[15]
An optimized crystal structure of Hf2TiSnTe, computed with PBE.

a b c (Å): 5.106 5.106 4.979
angles (deg): 90.00 90.00 90.00
Space group P4/mmm (No. 123)
Asymmetric unit:
Hf 0.000 0.500 0.000
Ti 0.000 0.000 0.000
Sn 0.500 0.500 0.500
Te 0.000 0.000 0.500

Calculated values
- energy (eV/atom) = -6.364
- V (Å³ per cell) = 130
- M_tot (μB/atom) = 0.0000


[16]
An optimized crystal structure of Rb2TiIn2O6, computed with PBE.

a b c (Å): 5.626 9.665 6.887
angles (deg): 90.00 106.19 90.00
Space group C2/m (No. 12)
Asymmetric unit:
Rb 0.000 0.168 0.000
Ti 0.000 0.000 0.500
In 0.000 0.335 0.500
O 0.208 0.154 0.664
O 0.249 0.000 0.337

Calculated values
- energy (eV/atom) = -6.007
- V (Å³ per cell) = 360
- M_tot (μB/atom) = 0.0000


[17]
An optimized crystal structure of BeFeCoRu2, computed with PBE.

a b c (Å): 4.376 4.376 3.744
angles (deg): 90.00 90.00 90.00
Space group P4/mmm (No. 123)
Asymmetric unit:
Be 0.000 0.000 0.000
Fe 0.500 0.500 0.000
Co 0.000 0.000 0.500
Ru 0.000 0.500 0.500

Calculated values
- energy (eV/atom) = -6.211
- V (Å³ per cell) = 72
- M_tot (μB/atom) = 0.0990


[18]
An optimized crystal structure of Cs12TlAg6, computed with PBE.

a b c (Å): 13.279 13.279 13.279
angles (deg): 90.00 90.00 90.00
Space group Im-3 (No. 204)
Asymmetric unit:
Cs 0.000 0.180 0.306
Tl 0.000 0.000 0.000
Ag 0.000 0.392 0.500

Calculated values
- energy (eV/atom) = -1.536
- V (Å³ per cell) = 2341
- M_tot (μB/atom) = 0.0279


[19]
An optimized crystal structure of NdSi3Pt5, computed with PBE.

a b c (Å): 3.923 12.514 12.840
angles (deg): 90.00 90.00 90.00
Space group Cmcm (No. 63)
Asymmetric unit:
Nd 0.000 0.156 0.250
Si 0.000 0.114 0.750
Si 0.000 0.385 0.538
Pt 0.000 0.000 0.000
Pt 0.000 0.209 0.583
Pt 0.000 0.454 0.146

Calculated values
- energy (eV/atom) = -6.562
- V (Å³ per cell) = 630
- M_tot (μB/atom) = 0.0000


[20]
An optimized crystal structure of Li3Pa3Te8Pd, computed with PBE.

a b c (Å): 14.516 8.390 8.687
angles (deg): 90.00 123.88 90.00
Space group C2/m (No. 12)
Asymmetric unit:
Li 0.000 0.000 0.000
Li 0.250 0.250 0.000
Pa 0.000 0.500 0.500
Pa 0.250 0.250 0.500
Te 0.003 0.239 0.749
Te 0.241 0.000 0.748
Te 0.244 0.000 0.232
Pd 0.000 0.000 0.500

Calculated values
- energy (eV/atom) = -5.049
- V (Å³ per cell) = 878
- M_tot (μB/atom) = 0.2452